Record 1
A geometry-optimized GdPuP structure, computed with PBE.

Values from the calculation:
E_tot   -11.948 eV/atom
Relative energy among the computed polymorphs   44 meV per atom
Calculated density   9.39 Mg/m³

Lattice parameters (Å, degrees): 6.737 6.737 6.737 90.00 90.00 90.00
Space group F-43m (No. 216)
Inequivalent atoms, fractional coordinates:
Gd: 0.000 0.000 0.000 [4 per cell]
Pu: 0.000 0.000 0.500 [4 per cell]
P: 0.250 0.250 0.750 [4 per cell]



Record 2
A geometry-optimized Ta2PdF2 structure, computed with PBE.

Values from the calculation:
E_tot   -6.777 eV/atom
Uncorrected formation energy   -249 meV per atom
Calculated density   11.35 Mg/m³

Lattice parameters (Å, degrees): 4.208 4.208 4.183 90.00 90.00 90.00
Space group P4/mmm (No. 123)
Inequivalent atoms, fractional coordinates:
Ta: 0.000 0.500 0.000 [2 per cell]
Pd: 0.000 0.000 0.500 [1 per cell]
F: 0.500 0.500 0.000 [1 per cell]
F: 0.500 0.500 0.500 [1 per cell]



Record 3
A geometry-optimized UFe2Ge2 structure, computed with PBE.

Values from the calculation:
E_tot   -7.667 eV/atom
Calculated density   10.13 Mg/m³

Lattice parameters (Å, degrees): 5.017 10.076 12.846 90.00 90.00 90.00
Space group Fddd (No. 70, origin choice 2)
Inequivalent atoms, fractional coordinates:
U: 0.125 0.125 0.125 [8 per cell]
Fe: 0.125 0.125 0.524 [16 per cell]
Ge: 0.125 0.323 0.625 [16 per cell]



Record 4
A geometry-optimized CaPr3Rh4 structure, computed with PBE.

Values from the calculation:
E_tot   -6.267 eV/atom
Calculated density   8.20 Mg/m³

Lattice parameters (Å, degrees): 5.0134 5.0134 24.3945 90.00 90.00 120.00
Space group R-3m (No. 166, hexagonal axes)
Inequivalent atoms, fractional coordinates:
Ca: 0.0000 0.0000 0.0000 [3 per cell]
Pr: 0.0000 0.0000 0.2537 [6 per cell]
Pr: 0.0000 0.0000 0.5000 [3 per cell]
Rh: 0.0000 0.0000 0.1265 [6 per cell]
Rh: 0.0000 0.0000 0.3772 [6 per cell]



Record 5
A geometry-optimized Ce3TcIr structure, computed with PBE.

Values from the calculation:
E_tot   -7.717 eV/atom
Relative energy among the computed polymorphs   0 meV per atom
Calculated density   10.29 Mg/m³

Lattice parameters (Å, degrees): 7.167 4.158 8.082 90.00 107.69 90.00
Space group P2_1/m (No. 11)
Inequivalent atoms, fractional coordinates:
Ce: 0.078 0.250 0.223 [2 per cell]
Ce: 0.362 0.250 0.952 [2 per cell]
Ce: 0.363 0.750 0.599 [2 per cell]
Tc: 0.274 0.750 0.191 [2 per cell]
Ir: 0.094 0.250 0.620 [2 per cell]



Record 6
A geometry-optimized PuTlZn2Cl8 structure, computed with PBE.

Values from the calculation:
E_tot   -4.176 eV/atom
Uncorrected formation energy   -1341 meV per atom
Calculated density   4.03 Mg/m³

Lattice parameters (Å, degrees): 6.4545 6.4545 29.5748 90.00 90.00 120.00
Space group R-3 (No. 148, hexagonal axes)
Inequivalent atoms, fractional coordinates:
Pu: 0.0000 0.0000 0.0000 [3 per cell]
Tl: 0.0000 0.0000 0.5000 [3 per cell]
Zn: 0.0000 0.0000 0.2481 [6 per cell]
Cl: 0.0000 0.0000 0.1736 [6 per cell]
Cl: 0.0011 0.6725 0.3897 [18 per cell]



Record 7
A geometry-optimized PrNbS2 structure, computed with PBE.

Values from the calculation:
E_tot   -6.606 eV/atom
Uncorrected formation energy   -830 meV per atom
Calculated density   5.33 Mg/m³

Lattice parameters (Å, degrees): 3.4963 3.4963 26.3132 90.00 90.00 120.00
Space group R-3m (No. 166, hexagonal axes)
Inequivalent atoms, fractional coordinates:
Pr: 0.0000 0.0000 0.0000 [3 per cell]
Nb: 0.0000 0.0000 0.5000 [3 per cell]
S: 0.0000 0.0000 0.1084 [6 per cell]



Record 8
A geometry-optimized NaSr2Ag2 structure, computed with PBE.

Values from the calculation:
E_tot   -2.151 eV/atom
Relative energy among the computed polymorphs   164 meV per atom
Calculated density   3.90 Mg/m³

Lattice parameters (Å, degrees): 6.220 6.220 9.109 90.00 90.00 90.00
Space group I4/mmm (No. 139)
Inequivalent atoms, fractional coordinates:
Na: 0.000 0.000 0.000 [2 per cell]
Sr: 0.000 0.500 0.250 [4 per cell]
Ag: 0.000 0.000 0.351 [4 per cell]



Record 9
A geometry-optimized LiAl8Au2 structure, computed with PBE.

Values from the calculation:
E_tot   -3.552 eV/atom
Calculated density   5.00 Mg/m³

Lattice parameters (Å, degrees): 11.226 8.228 4.516 90.00 101.08 90.00
Space group C2/m (No. 12)
Inequivalent atoms, fractional coordinates:
Li: 0.000 0.000 0.000 [2 per cell]
Al: 0.073 0.284 0.786 [8 per cell]
Al: 0.124 0.500 0.322 [4 per cell]
Al: 0.239 0.000 0.119 [4 per cell]
Au: 0.132 0.000 0.570 [4 per cell]



Record 10
A geometry-optimized AcPd12 structure, computed with PBE.

Values from the calculation:
E_tot   -5.354 eV/atom
Calculated density   11.11 Mg/m³

Lattice parameters (Å, degrees): 9.208 9.208 5.304 90.00 90.00 90.00
Space group I4/mmm (No. 139)
Inequivalent atoms, fractional coordinates:
Ac: 0.000 0.000 0.000 [2 per cell]
Pd: 0.000 0.223 0.500 [8 per cell]
Pd: 0.000 0.353 0.000 [8 per cell]
Pd: 0.250 0.250 0.250 [8 per cell]



Record 11
A geometry-optimized Ba3Ag5S12 structure, computed with PBE.

Values from the calculation:
E_tot   -3.708 eV/atom
Uncorrected formation energy   -231 meV per atom
Calculated density   4.24 Mg/m³

Lattice parameters (Å, degrees): 16.111 16.111 16.111 90.00 90.00 90.00
Space group Ia-3d (No. 230)
Inequivalent atoms, fractional coordinates:
Ba: 0.000 0.250 0.125 [24 per cell]
Ag: 0.000 0.000 0.000 [16 per cell]
Ag: 0.000 0.250 0.375 [24 per cell]
S: 0.031 0.053 0.642 [96 per cell]



Record 12
A geometry-optimized La2Nd5DyY structure, computed with PBE.

Values from the calculation:
E_tot   -4.847 eV/atom
Calculated density   6.49 Mg/m³

Lattice parameters (Å, degrees): 5.757 20.515 10.839 90.00 90.00 90.00
Space group Cmc2_1 (No. 36)
Inequivalent atoms, fractional coordinates:
La: 0.000 0.114 0.000 [4 per cell]
La: 0.000 0.117 0.581 [4 per cell]
Nd: 0.000 0.015 0.286 [4 per cell]
Nd: 0.000 0.278 0.577 [4 per cell]
Nd: 0.000 0.295 0.969 [4 per cell]
Nd: 0.000 0.385 0.288 [4 per cell]
Nd: 0.000 0.482 0.009 [4 per cell]
Dy: 0.000 0.201 0.275 [4 per cell]
Y: 0.000 0.407 0.730 [4 per cell]